This record from Alexandria via LeMat-Bulk describes a relaxed SrCoF crystal. The functional is PBE+U.

Results
- E_tot (eV/f.u.) = -12.8
- magnetic moment (μB per formula unit) = 2.00
- V (Å³ per cell) = 274
- polymorph energy (0 for the lowest one) (eV/atom) = 0.1681

a = 8.468 Å, b = 4.394 Å, c = 7.361 Å
α = 90.00°, β = 90.00°, γ = 90.00°
Fractional coordinates of all 12 atoms:
1 Sr 0.156 0.250 0.138
2 Sr 0.344 0.750 0.638
3 Sr 0.656 0.250 0.362
4 Sr 0.844 0.750 0.862
5 Co 0.022 0.250 0.568
6 Co 0.478 0.750 0.068
7 Co 0.522 0.250 0.932
8 Co 0.978 0.750 0.432
9 F 0.034 0.750 0.116
10 F 0.466 0.250 0.616
11 F 0.534 0.750 0.384
12 F 0.966 0.250 0.884